# PBE-GGA FeCuAg2, optimized geometry
# Formation energy in eV/atom: 0.30
# DOS at the Fermi energy in states/eV per cell: 2.779
data_FeCuAg2
_chemical_formula_sum 'Fe1 Cu1 Ag2'
_symmetry_space_group_name_H-M 'P 1'
_symmetry_Int_Tables_number 1
_symmetry_space_group_name_Hall 'P 1'
_cell_length_a 4.813
_cell_length_b 4.813
_cell_length_c 4.834
_cell_angle_alpha 79.20
_cell_angle_beta 79.20
_cell_angle_gamma 33.53
loop_
_atom_site_label
_atom_site_fract_x
_atom_site_fract_y
_atom_site_fract_z
Cu1 0.508 0.508 0.493
Fe1 0.241 0.241 0.256
Ag1 0.756 0.756 0.736
Ag2 0.995 0.995 0.015

=====

# PBE-GGA Zr8Cu, optimized geometry
# Formation energy in eV/atom: 0.05
# DOS at the Fermi energy in states/eV per cell: 12.224
data_Zr8Cu
_chemical_formula_sum 'Zr8 Cu1'
_symmetry_space_group_name_H-M 'P 1'
_symmetry_Int_Tables_number 1
_symmetry_space_group_name_Hall 'P 1'
_cell_length_a 4.323
_cell_length_b 7.109
_cell_length_c 7.109
_cell_angle_alpha 95.30
_cell_angle_beta 107.70
_cell_angle_gamma 72.30
loop_
_atom_site_label
_atom_site_fract_x
_atom_site_fract_y
_atom_site_fract_z
Zr1 0.664 0.672 0.000
Zr2 0.000 0.331 0.331
Zr3 0.331 0.669 0.331
Zr4 0.336 0.000 0.672
Zr5 0.664 0.000 0.328
Zr6 0.000 0.669 0.669
Zr7 0.669 0.331 0.669
Zr8 0.336 0.328 0.000
Cu1 0.000 0.000 0.000

=====

# PBE-GGA LiAc2Pd6Pb, optimized geometry
# Formation energy in eV/atom: -0.55
# DOS at the Fermi energy in states/eV per cell: 4.054
data_LiAc2Pd6Pb
_chemical_formula_sum 'Li1 Ac2 Pd6 Pb1'
_symmetry_space_group_name_H-M 'P 1'
_symmetry_Int_Tables_number 1
_symmetry_space_group_name_Hall 'P 1'
_cell_length_a 5.661
_cell_length_b 8.827
_cell_length_c 6.795
_cell_angle_alpha 50.89
_cell_angle_beta 65.31
_cell_angle_gamma 89.97
loop_
_atom_site_label
_atom_site_fract_x
_atom_site_fract_y
_atom_site_fract_z
Pd1 0.250 0.249 0.985
Pd2 0.768 0.251 0.982
Pd3 0.750 0.751 0.015
Pd4 0.232 0.749 0.018
Pd5 0.753 0.925 0.490
Pd6 0.247 0.075 0.510
Li1 0.000 0.000 0.000
Ac1 0.741 0.273 0.518
Ac2 0.259 0.727 0.482
Pb1 0.500 0.500 0.000

=====

# PBE-GGA LiTbCu2, optimized geometry
# Formation energy in eV/atom: -0.02
# DOS at the Fermi energy in states/eV per cell: 1.677
data_LiTbCu2
_chemical_formula_sum 'Li1 Tb1 Cu2'
_symmetry_space_group_name_H-M 'P 1'
_symmetry_Int_Tables_number 1
_symmetry_space_group_name_Hall 'P 1'
_cell_length_a 3.342
_cell_length_b 4.667
_cell_length_c 4.667
_cell_angle_alpha 90.00
_cell_angle_beta 90.00
_cell_angle_gamma 90.00
loop_
_atom_site_label
_atom_site_fract_x
_atom_site_fract_y
_atom_site_fract_z
Cu1 0.000 0.000 0.500
Cu2 0.000 0.500 0.000
Tb1 0.500 0.500 0.500
Li1 0.500 0.000 0.000

=====

# PBE-GGA AcTlCdPd, optimized geometry
# Formation energy in eV/atom: -0.35
# DOS at the Fermi energy in states/eV per cell: 2.066
data_AcTlCdPd
_chemical_formula_sum 'Ac1 Tl1 Cd1 Pd1'
_symmetry_space_group_name_H-M 'P 1'
_symmetry_Int_Tables_number 1
_symmetry_space_group_name_Hall 'P 1'
_cell_length_a 5.289
_cell_length_b 5.289
_cell_length_c 5.289
_cell_angle_alpha 60.00
_cell_angle_beta 60.00
_cell_angle_gamma 60.00
loop_
_atom_site_label
_atom_site_fract_x
_atom_site_fract_y
_atom_site_fract_z
Tl1 0.500 0.500 0.500
Ac1 0.250 0.250 0.250
Cd1 0.750 0.750 0.750
Pd1 0.000 0.000 0.000

=====

# PBE-GGA CsSn3Cl, optimized geometry
# Energy relative to the elements, uncorrected in eV/f.u.: 6.2
# DOS at the Fermi energy in states/eV per cell: 9.304
data_CsSn3Cl
_chemical_formula_sum 'Cs1 Sn3 Cl1'
_symmetry_space_group_name_H-M 'P 1'
_symmetry_Int_Tables_number 1
_symmetry_space_group_name_Hall 'P 1'
_cell_length_a 6.377
_cell_length_b 6.377
_cell_length_c 6.377
_cell_angle_alpha 90.00
_cell_angle_beta 90.00
_cell_angle_gamma 90.00
loop_
_atom_site_label
_atom_site_fract_x
_atom_site_fract_y
_atom_site_fract_z
Sn1 0.000 0.000 0.500
Sn2 0.000 0.500 0.000
Sn3 0.500 0.000 0.000
Cl1 0.500 0.500 0.500
Cs1 0.000 0.000 0.000

=====

# PBE-GGA CuTePd, optimized geometry
# Energy relative to the elements, uncorrected in eV/f.u.: -0.4
# DOS at the Fermi energy in states/eV per cell: 1.997
data_CuTePd
_chemical_formula_sum 'Cu1 Te1 Pd1'
_symmetry_space_group_name_H-M 'P 1'
_symmetry_Int_Tables_number 1
_symmetry_space_group_name_Hall 'P 1'
_cell_length_a 4.381
_cell_length_b 4.381
_cell_length_c 4.381
_cell_angle_alpha 60.00
_cell_angle_beta 60.00
_cell_angle_gamma 60.00
loop_
_atom_site_label
_atom_site_fract_x
_atom_site_fract_y
_atom_site_fract_z
Cu1 0.500 0.500 0.500
Te1 0.000 0.000 0.000
Pd1 0.250 0.250 0.250

=====

# PBE-GGA InTc2Te2, optimized geometry
# Energy relative to the elements, uncorrected in eV/f.u.: 1.6
# DOS at the Fermi energy in states/eV per cell: 4.794
data_InTc2Te2
_chemical_formula_sum 'In1 Tc2 Te2'
_symmetry_space_group_name_H-M 'P 1'
_symmetry_Int_Tables_number 1
_symmetry_space_group_name_Hall 'P 1'
_cell_length_a 5.214
_cell_length_b 5.214
_cell_length_c 5.642
_cell_angle_alpha 62.48
_cell_angle_beta 62.48
_cell_angle_gamma 90.00
loop_
_atom_site_label
_atom_site_fract_x
_atom_site_fract_y
_atom_site_fract_z
Te1 0.750 0.250 0.500
Te2 0.250 0.750 0.500
Tc1 0.630 0.630 0.740
Tc2 0.370 0.370 0.260
In1 0.000 0.000 0.000

=====

# PBE-GGA LaP12Ru4, optimized geometry
# Formation energy in eV/atom: -0.69
# DOS at the Fermi energy in states/eV per cell: 3.843
data_LaP12Ru4
_chemical_formula_sum 'La1 P12 Ru4'
_symmetry_space_group_name_H-M 'P 1'
_symmetry_Int_Tables_number 1
_symmetry_space_group_name_Hall 'P 1'
_cell_length_a 7.022
_cell_length_b 7.022
_cell_length_c 7.022
_cell_angle_alpha 109.47
_cell_angle_beta 109.47
_cell_angle_gamma 109.47
loop_
_atom_site_label
_atom_site_fract_x
_atom_site_fract_y
_atom_site_fract_z
P1 0.498 0.642 0.856
P2 0.642 0.144 0.786
P3 0.786 0.642 0.144
P4 0.214 0.358 0.856
P5 0.144 0.502 0.358
P6 0.358 0.144 0.502
P7 0.856 0.214 0.358
P8 0.856 0.498 0.642
P9 0.358 0.856 0.214
P10 0.144 0.786 0.642
P11 0.502 0.358 0.144
P12 0.642 0.856 0.498
Ru1 0.000 0.000 0.500
Ru2 0.500 0.500 0.500
Ru3 0.000 0.500 0.000
Ru4 0.500 0.000 0.000
La1 0.000 0.000 0.000

=====

# PBE-GGA Li2CaZnAu4, optimized geometry
# Formation energy in eV/atom: -0.52
# DOS at the Fermi energy in states/eV per cell: 2.961
data_Li2CaZnAu4
_chemical_formula_sum 'Li2 Ca1 Zn1 Au4'
_symmetry_space_group_name_H-M 'P 1'
_symmetry_Int_Tables_number 1
_symmetry_space_group_name_Hall 'P 1'
_cell_length_a 4.480
_cell_length_b 4.480
_cell_length_c 9.013
_cell_angle_alpha 75.61
_cell_angle_beta 75.61
_cell_angle_gamma 60.00
loop_
_atom_site_label
_atom_site_fract_x
_atom_site_fract_y
_atom_site_fract_z
Au1 0.603 0.603 0.192
Au2 0.871 0.871 0.388
Au3 0.397 0.397 0.808
Au4 0.129 0.129 0.612
Zn1 0.500 0.500 0.500
Li1 0.761 0.761 0.718
Li2 0.239 0.239 0.282
Ca1 0.000 0.000 0.000

=====

# PBE-GGA KNa2W, optimized geometry
# Formation energy in eV/atom: 1.41
# DOS at the Fermi energy in states/eV per cell: 1.489
data_KNa2W
_chemical_formula_sum 'K1 Na2 W1'
_symmetry_space_group_name_H-M 'P 1'
_symmetry_Int_Tables_number 1
_symmetry_space_group_name_Hall 'P 1'
_cell_length_a 5.702
_cell_length_b 5.702
_cell_length_c 5.702
_cell_angle_alpha 60.00
_cell_angle_beta 60.00
_cell_angle_gamma 60.00
loop_
_atom_site_label
_atom_site_fract_x
_atom_site_fract_y
_atom_site_fract_z
K1 0.000 0.000 0.000
W1 0.500 0.500 0.500
Na1 0.750 0.750 0.750
Na2 0.250 0.250 0.250

=====

# PBE-GGA Pr8YTm2, optimized geometry
# Formation energy in eV/atom: 0.11
# DOS at the Fermi energy in states/eV per cell: 16.499
data_Pr8YTm2
_chemical_formula_sum 'Pr8 Y1 Tm2'
_symmetry_space_group_name_H-M 'P 1'
_symmetry_Int_Tables_number 1
_symmetry_space_group_name_Hall 'P 1'
_cell_length_a 5.738
_cell_length_b 8.380
_cell_length_c 9.540
_cell_angle_alpha 116.05
_cell_angle_beta 107.50
_cell_angle_gamma 90.00
loop_
_atom_site_label
_atom_site_fract_x
_atom_site_fract_y
_atom_site_fract_z
Pr1 0.163 0.163 0.326
Pr2 0.637 0.435 0.274
Pr3 0.000 0.295 0.000
Pr4 0.637 0.840 0.274
Pr5 0.363 0.160 0.726
Pr6 0.363 0.565 0.726
Pr7 0.837 0.837 0.674
Pr8 0.000 0.705 0.000
Tm1 0.202 0.701 0.403
Tm2 0.798 0.299 0.597
Y1 0.500 0.000 0.000

=====

# PBE-GGA Al2GaIr2, optimized geometry
# Formation energy in eV/atom: -0.64
# DOS at the Fermi energy in states/eV per cell: 2.694
data_Al2GaIr2
_chemical_formula_sum 'Al4 Ga2 Ir4'
_symmetry_space_group_name_H-M 'P 1'
_symmetry_Int_Tables_number 1
_symmetry_space_group_name_Hall 'P 1'
_cell_length_a 7.220
_cell_length_b 7.220
_cell_length_c 2.929
_cell_angle_alpha 90.00
_cell_angle_beta 90.00
_cell_angle_gamma 90.00
loop_
_atom_site_label
_atom_site_fract_x
_atom_site_fract_y
_atom_site_fract_z
Ir1 0.157 0.343 0.000
Ir2 0.843 0.657 0.000
Ir3 0.657 0.157 0.000
Ir4 0.343 0.843 0.000
Al1 0.140 0.640 0.500
Al2 0.640 0.860 0.500
Al3 0.860 0.360 0.500
Al4 0.360 0.140 0.500
Ga1 0.500 0.500 0.000
Ga2 0.000 0.000 0.000

=====

# PBE-GGA KCd3Pt, optimized geometry
# Formation energy in eV/atom: -0.16
# DOS at the Fermi energy in states/eV per cell: 3.412
data_KCd3Pt
_chemical_formula_sum 'K2 Cd6 Pt2'
_symmetry_space_group_name_H-M 'P 1'
_symmetry_Int_Tables_number 1
_symmetry_space_group_name_Hall 'P 1'
_cell_length_a 7.187
_cell_length_b 7.187
_cell_length_c 7.187
_cell_angle_alpha 62.67
_cell_angle_beta 62.67
_cell_angle_gamma 62.67
loop_
_atom_site_label
_atom_site_fract_x
_atom_site_fract_y
_atom_site_fract_z
Cd1 0.564 0.564 0.146
Cd2 0.146 0.564 0.564
Cd3 0.564 0.146 0.564
Cd4 0.436 0.436 0.854
Cd5 0.854 0.436 0.436
Cd6 0.436 0.854 0.436
K1 0.100 0.100 0.100
K2 0.900 0.900 0.900
Pt1 0.300 0.300 0.300
Pt2 0.700 0.700 0.700

=====

# PBE-GGA In5Ga12Au3, optimized geometry
# Formation energy in eV/atom: 0.05
# DOS at the Fermi energy in states/eV per cell: 33.445
data_In5Ga12Au3
_chemical_formula_sum 'In20 Ga48 Au12'
_symmetry_space_group_name_H-M 'P 1'
_symmetry_Int_Tables_number 1
_symmetry_space_group_name_Hall 'P 1'
_cell_length_a 13.634
_cell_length_b 13.634
_cell_length_c 13.634
_cell_angle_alpha 109.47
_cell_angle_beta 109.47
_cell_angle_gamma 109.47
loop_
_atom_site_label
_atom_site_fract_x
_atom_site_fract_y
_atom_site_fract_z
In1 0.750 0.125 0.875
In2 0.875 0.625 0.750
In3 0.000 0.000 0.000
In4 0.500 0.500 0.500
In5 0.125 0.750 0.375
In6 0.625 0.750 0.875
In7 0.875 0.250 0.625
In8 0.375 0.250 0.125
In9 0.500 0.000 0.000
In10 0.625 0.875 0.250
In11 0.250 0.375 0.625
In12 0.500 0.500 0.000
In13 0.375 0.125 0.750
In14 0.750 0.625 0.375
In15 0.000 0.000 0.500
In16 0.125 0.375 0.250
In17 0.500 0.000 0.500
In18 0.250 0.875 0.125
In19 0.000 0.500 0.000
In20 0.000 0.500 0.500
Ga1 0.837 0.932 0.076
Ga2 0.739 0.595 0.163
Ga3 0.337 0.576 0.432
Ga4 0.663 0.239 0.595
Ga5 0.932 0.837 0.576
Ga6 0.932 0.095 0.856
Ga7 0.568 0.924 0.663
Ga8 0.576 0.239 0.144
Ga9 0.337 0.761 0.405
Ga10 0.405 0.144 0.568
Ga11 0.739 0.144 0.076
Ga12 0.837 0.905 0.261
Ga13 0.239 0.663 0.095
Ga14 0.924 0.356 0.261
Ga15 0.239 0.576 0.644
Ga16 0.356 0.924 0.761
Ga17 0.356 0.432 0.095
Ga18 0.761 0.337 0.905
Ga19 0.095 0.163 0.239
Ga20 0.076 0.432 0.837
Ga21 0.568 0.644 0.405
Ga22 0.644 0.076 0.239
Ga23 0.144 0.739 0.576
Ga24 0.663 0.424 0.568
Ga25 0.068 0.163 0.424
Ga26 0.095 0.932 0.356
Ga27 0.856 0.595 0.932
Ga28 0.761 0.424 0.356
Ga29 0.905 0.837 0.761
Ga30 0.432 0.076 0.337
Ga31 0.076 0.644 0.739
Ga32 0.924 0.568 0.163
Ga33 0.576 0.337 0.932
Ga34 0.163 0.068 0.924
Ga35 0.424 0.761 0.856
Ga36 0.424 0.663 0.068
Ga37 0.068 0.905 0.144
Ga38 0.905 0.068 0.644
Ga39 0.261 0.856 0.924
Ga40 0.405 0.261 0.337
Ga41 0.432 0.356 0.595
Ga42 0.856 0.261 0.424
Ga43 0.144 0.405 0.068
Ga44 0.595 0.856 0.432
Ga45 0.595 0.739 0.663
Ga46 0.261 0.405 0.837
Ga47 0.163 0.095 0.739
Ga48 0.644 0.568 0.905
Au1 0.625 0.250 0.375
Au2 0.625 0.375 0.750
Au3 0.750 0.375 0.125
Au4 0.125 0.875 0.750
Au5 0.125 0.250 0.875
Au6 0.750 0.875 0.625
Au7 0.875 0.750 0.125
Au8 0.250 0.625 0.875
Au9 0.375 0.750 0.625
Au10 0.250 0.125 0.375
Au11 0.875 0.125 0.250
Au12 0.375 0.625 0.250

=====

# PBE-GGA SrLaSn2Cl, optimized geometry
# Energy relative to the elements, uncorrected in eV/f.u.: -2.1
# DOS at the Fermi energy in states/eV per cell: 1.278
data_SrLaSn2Cl
_chemical_formula_sum 'Sr1 La1 Sn2 Cl1'
_symmetry_space_group_name_H-M 'P 1'
_symmetry_Int_Tables_number 1
_symmetry_space_group_name_Hall 'P 1'
_cell_length_a 5.672
_cell_length_b 5.228
_cell_length_c 5.672
_cell_angle_alpha 90.00
_cell_angle_beta 90.00
_cell_angle_gamma 90.00
loop_
_atom_site_label
_atom_site_fract_x
_atom_site_fract_y
_atom_site_fract_z
La1 0.500 0.500 0.500
Sr1 0.000 0.500 0.000
Cl1 0.000 0.000 0.000
Sn1 0.000 0.000 0.500
Sn2 0.500 0.000 0.000

=====

# PBE-GGA GdCuSe2, optimized geometry
# Energy relative to the elements, uncorrected in eV/f.u.: -5.0
data_GdCuSe2
_chemical_formula_sum 'Gd4 Cu4 Se8'
_symmetry_space_group_name_H-M 'P 1'
_symmetry_Int_Tables_number 1
_symmetry_space_group_name_Hall 'P 1'
_cell_length_a 7.382
_cell_length_b 6.663
_cell_length_c 7.134
_cell_angle_alpha 83.70
_cell_angle_beta 90.00
_cell_angle_gamma 90.00
loop_
_atom_site_label
_atom_site_fract_x
_atom_site_fract_y
_atom_site_fract_z
Gd1 0.456 0.195 0.701
Gd2 0.044 0.195 0.201
Gd3 0.544 0.805 0.299
Gd4 0.956 0.805 0.799
Cu1 0.841 0.427 0.545
Cu2 0.159 0.573 0.455
Cu3 0.341 0.573 0.955
Cu4 0.659 0.427 0.045
Se1 0.275 0.925 0.997
Se2 0.388 0.402 0.281
Se3 0.725 0.075 0.003
Se4 0.612 0.598 0.719
Se5 0.112 0.402 0.781
Se6 0.225 0.925 0.497
Se7 0.888 0.598 0.219
Se8 0.775 0.075 0.503

=====

# PBE-GGA YZn2Si, optimized geometry
# Energy relative to the elements, uncorrected in eV/f.u.: -1.0
# DOS at the Fermi energy in states/eV per cell: 0.952
data_YZn2Si
_chemical_formula_sum 'Y1 Zn2 Si1'
_symmetry_space_group_name_H-M 'P 1'
_symmetry_Int_Tables_number 1
_symmetry_space_group_name_Hall 'P 1'
_cell_length_a 5.612
_cell_length_b 5.612
_cell_length_c 5.612
_cell_angle_alpha 43.45
_cell_angle_beta 43.45
_cell_angle_gamma 43.45
loop_
_atom_site_label
_atom_site_fract_x
_atom_site_fract_y
_atom_site_fract_z
Si1 0.250 0.250 0.250
Zn1 0.970 0.970 0.970
Zn2 0.530 0.530 0.530
Y1 0.750 0.750 0.750

=====

# PBE-GGA CsU2CuS4, optimized geometry
# Energy relative to the elements, uncorrected in eV/f.u.: -9.4
# DOS at the Fermi energy in states/eV per cell: 22.053
data_CsU2CuS4
_chemical_formula_sum 'Cs2 U4 Cu2 S8'
_symmetry_space_group_name_H-M 'P 1'
_symmetry_Int_Tables_number 1
_symmetry_space_group_name_Hall 'P 1'
_cell_length_a 3.984
_cell_length_b 7.330
_cell_length_c 13.854
_cell_angle_alpha 90.00
_cell_angle_beta 90.00
_cell_angle_gamma 105.77
loop_
_atom_site_label
_atom_site_fract_x
_atom_site_fract_y
_atom_site_fract_z
U1 0.632 0.264 0.057
U2 0.632 0.264 0.443
U3 0.368 0.736 0.557
U4 0.368 0.736 0.943
Cs1 0.103 0.205 0.750
Cs2 0.897 0.795 0.250
S1 0.000 0.000 0.000
S2 0.258 0.515 0.107
S3 0.742 0.485 0.607
S4 0.742 0.485 0.893
S5 0.258 0.515 0.393
S6 0.414 0.828 0.750
S7 0.586 0.172 0.250
S8 0.000 0.000 0.500
Cu1 0.829 0.659 0.750
Cu2 0.171 0.341 0.250

=====

# PBE-GGA SrB2Au2, optimized geometry
# Formation energy in eV/atom: 0.15
# DOS at the Fermi energy in states/eV per cell: 1.754
data_SrB2Au2
_chemical_formula_sum 'Sr1 B2 Au2'
_symmetry_space_group_name_H-M 'P 1'
_symmetry_Int_Tables_number 1
_symmetry_space_group_name_Hall 'P 1'
_cell_length_a 4.177
_cell_length_b 4.177
_cell_length_c 5.746
_cell_angle_alpha 68.68
_cell_angle_beta 68.68
_cell_angle_gamma 90.00
loop_
_atom_site_label
_atom_site_fract_x
_atom_site_fract_y
_atom_site_fract_z
B1 0.250 0.750 0.500
B2 0.750 0.250 0.500
Au1 0.664 0.664 0.673
Au2 0.336 0.336 0.327
Sr1 0.000 0.000 0.000